First-principles (GGA-PBE) data for an optimized crystal structure of ZnOs2Au, as listed in Alexandria via LeMat-Bulk.

It has space group P4/mmm (No. 123), with a = 3.797 Å, b = 3.797 Å, c = 4.214 Å, α = 90.00°, β = 90.00° and γ = 90.00°. The distinct sites, in fractional coordinates, are Zn at (0.000, 0.000, 0.000), Os at (0.000, 0.500, 0.500) and Au at (0.500, 0.500, 0.000).

For the total magnetization, the calculation gives 0.000 μB per atom. As for the density of states at the Fermi level: 0.997 states/eV/atom. For the formation energy, the calculation gives 588 meV per atom. The value obtained for the uncorrected energy is -6.165 eV/atom.

First-principles (GGA-PBE) data for an optimized crystal structure of ZnOsAu3, as listed in Alexandria via LeMat-Bulk.

It has space group Pm-3m (No. 221), with a = 5.061 Å, b = 5.061 Å, c = 5.061 Å, α = 90.00°, β = 90.00° and γ = 90.00°. The distinct sites, in fractional coordinates, are Zn at (0.000, 0.000, 0.000), Os at (0.500, 0.500, 0.500) and Au at (0.000, 0.500, 0.500).

For the total magnetization, the calculation gives 0.397 μB per atom. As for the density of states at the Fermi level: 0.932 states/eV/atom. For the formation energy, the calculation gives 1247 meV per atom. The value obtained for the uncorrected energy is -3.220 eV/atom. The calculation puts the energy above the lowest structure with this stoichiometry at 0 meV/atom.